# Sc2Ga4FeCo | OQMD via LeMat-Bulk | PBE | optimized geometry
data_Sc2Ga4FeCo
_chemical_formula_sum 'Sc4 Ga8 Fe2 Co2'
_cell_length_a 6.512
_cell_length_b 4.033
_cell_length_c 9.598
_cell_angle_alpha 90.00
_cell_angle_beta 90.00
_cell_angle_gamma 90.00
_symmetry_space_group_name_H-M 'A m m 2'
_symmetry_Int_Tables_number 38
loop_
_symmetry_equiv_pos_as_xyz
'x,y,z'
'-x,-y,z'
'-x,y,z'
'x,-y,z'
'x,y+1/2,z+1/2'
'-x,-y+1/2,z+1/2'
'-x,y+1/2,z+1/2'
'x,-y+1/2,z+1/2'
loop_
_atom_site_label
_atom_site_type_symbol
_atom_site_fract_x
_atom_site_fract_y
_atom_site_fract_z
_atom_site_occupancy
Sc1 Sc 0.000 0.000 0.000 1
Sc2 Sc 0.500 0.000 0.148 1
Ga1 Ga 0.201 0.000 0.712 1
Ga2 Ga 0.303 0.000 0.436 1
Fe1 Fe 0.000 0.000 0.282 1
Co1 Co 0.500 0.000 0.870 1
# Energy in eV per atom: -5.48
# Magnetic moment in μB/cell: 3.3

# GdHoFeCo2 | OQMD via LeMat-Bulk | PBE | optimized geometry
data_GdHoFeCo2
_chemical_formula_sum 'Gd2 Ho2 Fe2 Co4'
_cell_length_a 3.920
_cell_length_b 5.245
_cell_length_c 8.499
_cell_angle_alpha 90.00
_cell_angle_beta 90.00
_cell_angle_gamma 90.00
_symmetry_space_group_name_H-M 'I m m 2'
_symmetry_Int_Tables_number 44
loop_
_symmetry_equiv_pos_as_xyz
'x,y,z'
'-x,-y,z'
'-x,y,z'
'x,-y,z'
'x+1/2,y+1/2,z+1/2'
'-x+1/2,-y+1/2,z+1/2'
'-x+1/2,y+1/2,z+1/2'
'x+1/2,-y+1/2,z+1/2'
loop_
_atom_site_label
_atom_site_type_symbol
_atom_site_fract_x
_atom_site_fract_y
_atom_site_fract_z
_atom_site_occupancy
Gd1 Gd 0.000 0.000 0.000 1
Ho1 Ho 0.000 0.000 0.401 1
Fe1 Fe 0.000 0.500 0.200 1
Co1 Co 0.000 0.261 0.700 1
# Formation energy in eV/atom: -0.164
# Magnetic moment in μB/cell: 5.9

# GdFeCoSi2 | OQMD via LeMat-Bulk | PBE | optimized geometry
data_GdFeCoSi2
_chemical_formula_sum 'Gd2 Fe2 Co2 Si4'
_cell_length_a 3.936
_cell_length_b 3.936
_cell_length_c 9.621
_cell_angle_alpha 90.00
_cell_angle_beta 90.00
_cell_angle_gamma 90.00
_symmetry_space_group_name_H-M 'I -4 m 2'
_symmetry_Int_Tables_number 119
_symmetry_space_group_name_Hall 'I -4 -2'
loop_
_atom_site_label
_atom_site_type_symbol
_atom_site_fract_x
_atom_site_fract_y
_atom_site_fract_z
_atom_site_occupancy
Gd1 Gd 0.000 0.000 0.000 1
Fe1 Fe 0.000 0.500 0.750 1
Co1 Co 0.000 0.500 0.250 1
Si1 Si 0.000 0.000 0.368 1
# Energy in eV per atom: -6.95
# Magnetic moment in μB/cell: 0.0

# FeCo2Ge | OQMD via LeMat-Bulk | PBE | optimized geometry
data_FeCo2Ge
_chemical_formula_sum 'Fe1 Co2 Ge1'
_cell_length_a 4.002
_cell_length_b 4.002
_cell_length_c 2.952
_cell_angle_alpha 90.00
_cell_angle_beta 90.00
_cell_angle_gamma 90.00
_symmetry_space_group_name_H-M 'P 4/m m m'
_symmetry_Int_Tables_number 123
_symmetry_space_group_name_Hall '-P 4 2'
loop_
_atom_site_label
_atom_site_type_symbol
_atom_site_fract_x
_atom_site_fract_y
_atom_site_fract_z
_atom_site_occupancy
Fe1 Fe 0.000 0.000 0.000 1
Co1 Co 0.000 0.500 0.500 1
Ge1 Ge 0.500 0.500 0.000 1
# Energy in eV per atom: -6.91
# Magnetic moment in μB/cell: 5.4

# FeCo2Ge | OQMD via LeMat-Bulk | PBE | optimized geometry
data_FeCo2Ge
_chemical_formula_sum 'Fe2 Co4 Ge2'
_cell_length_a 3.9879
_cell_length_b 3.9879
_cell_length_c 7.2639
_cell_angle_alpha 90.00
_cell_angle_beta 90.00
_cell_angle_gamma 120.00
_symmetry_space_group_name_H-M 'P 63/m m c'
_symmetry_Int_Tables_number 194
_symmetry_space_group_name_Hall '-P 6c 2c'
loop_
_atom_site_label
_atom_site_type_symbol
_atom_site_fract_x
_atom_site_fract_y
_atom_site_fract_z
_atom_site_occupancy
Fe1 Fe 0.3333 0.6667 0.2500 1
Co1 Co 0.3333 0.6667 0.5822 1
Ge1 Ge 0.0000 0.0000 0.2500 1
# Energy in eV per atom: -6.67
# Magnetic moment in μB/cell: 9.1

# FeCoGe | OQMD via LeMat-Bulk | PBE | optimized geometry
data_FeCoGe
_chemical_formula_sum 'Fe2 Co2 Ge2'
_cell_length_a 4.0679
_cell_length_b 4.0679
_cell_length_c 4.9622
_cell_angle_alpha 90.00
_cell_angle_beta 90.00
_cell_angle_gamma 120.00
_symmetry_space_group_name_H-M 'P 63/m m c'
_symmetry_Int_Tables_number 194
_symmetry_space_group_name_Hall '-P 6c 2c'
loop_
_atom_site_label
_atom_site_type_symbol
_atom_site_fract_x
_atom_site_fract_y
_atom_site_fract_z
_atom_site_occupancy
Fe1 Fe 0.3333 0.6667 0.2500 1
Co1 Co 0.0000 0.0000 0.0000 1
Ge1 Ge 0.3333 0.6667 0.7500 1
# Energy in eV per atom: -6.65
# Magnetic moment in μB/cell: 4.3

# FeCo2Ge | OQMD via LeMat-Bulk | PBE | optimized geometry
data_FeCo2Ge
_chemical_formula_sum 'Fe2 Co4 Ge2'
_cell_length_a 4.061
_cell_length_b 4.061
_cell_length_c 5.709
_cell_angle_alpha 90.00
_cell_angle_beta 90.00
_cell_angle_gamma 90.00
_symmetry_space_group_name_H-M 'I 4/m m m'
_symmetry_Int_Tables_number 139
_symmetry_space_group_name_Hall '-I 4 2'
loop_
_atom_site_label
_atom_site_type_symbol
_atom_site_fract_x
_atom_site_fract_y
_atom_site_fract_z
_atom_site_occupancy
Fe1 Fe 0.000 0.000 0.000 1
Co1 Co 0.000 0.500 0.250 1
Ge1 Ge 0.000 0.000 0.500 1
# Energy in eV per atom: -6.95
# Magnetic moment in μB/cell: 11.3

# FeCo2Ge | OQMD via LeMat-Bulk | PBE | optimized geometry
data_FeCo2Ge
_chemical_formula_sum 'Fe2 Co4 Ge2'
_cell_length_a 3.9834
_cell_length_b 3.9834
_cell_length_c 7.2535
_cell_angle_alpha 90.00
_cell_angle_beta 90.00
_cell_angle_gamma 120.00
_symmetry_space_group_name_H-M 'P 63/m m c'
_symmetry_Int_Tables_number 194
_symmetry_space_group_name_Hall '-P 6c 2c'
loop_
_atom_site_label
_atom_site_type_symbol
_atom_site_fract_x
_atom_site_fract_y
_atom_site_fract_z
_atom_site_occupancy
Fe1 Fe 0.0000 0.0000 0.0000 1
Co1 Co 0.3333 0.6667 0.0914 1
Ge1 Ge 0.3333 0.6667 0.7500 1
# Energy in eV per atom: -6.76
# Magnetic moment in μB/cell: 10.0

# FeCo2Ge | OQMD via LeMat-Bulk | PBE | optimized geometry
data_FeCo2Ge
_chemical_formula_sum 'Fe2 Co4 Ge2'
_cell_length_a 3.9309
_cell_length_b 3.9309
_cell_length_c 7.4007
_cell_angle_alpha 90.00
_cell_angle_beta 90.00
_cell_angle_gamma 120.00
_symmetry_space_group_name_H-M 'P 63/m m c'
_symmetry_Int_Tables_number 194
_symmetry_space_group_name_Hall '-P 6c 2c'
loop_
_atom_site_label
_atom_site_type_symbol
_atom_site_fract_x
_atom_site_fract_y
_atom_site_fract_z
_atom_site_occupancy
Fe1 Fe 0.3333 0.6667 0.2500 1
Co1 Co 0.3333 0.6667 0.5924 1
Ge1 Ge 0.0000 0.0000 0.0000 1
# Energy in eV per atom: -6.81
# Magnetic moment in μB/cell: 9.1

# FeCoGe | OQMD via LeMat-Bulk | PBE | optimized geometry
data_FeCoGe
_chemical_formula_sum 'Fe4 Co4 Ge4'
_cell_length_a 5.488
_cell_length_b 5.488
_cell_length_c 5.488
_cell_angle_alpha 90.00
_cell_angle_beta 90.00
_cell_angle_gamma 90.00
_symmetry_space_group_name_H-M 'F -4 3 m'
_symmetry_Int_Tables_number 216
_symmetry_space_group_name_Hall 'F -4 2 3'
loop_
_atom_site_label
_atom_site_type_symbol
_atom_site_fract_x
_atom_site_fract_y
_atom_site_fract_z
_atom_site_occupancy
Fe1 Fe 0.000 0.000 0.000 1
Co1 Co 0.250 0.250 0.250 1
Ge1 Ge 0.000 0.000 0.500 1
# Energy in eV per atom: -6.74
# Magnetic moment in μB/cell: 12.0

# FeCoGe | OQMD via LeMat-Bulk | PBE | optimized geometry
data_FeCoGe
_chemical_formula_sum 'Fe2 Co2 Ge2'
_cell_length_a 4.0724
_cell_length_b 4.0724
_cell_length_c 5.0547
_cell_angle_alpha 90.00
_cell_angle_beta 90.00
_cell_angle_gamma 120.00
_symmetry_space_group_name_H-M 'P 63/m m c'
_symmetry_Int_Tables_number 194
_symmetry_space_group_name_Hall '-P 6c 2c'
loop_
_atom_site_label
_atom_site_type_symbol
_atom_site_fract_x
_atom_site_fract_y
_atom_site_fract_z
_atom_site_occupancy
Fe1 Fe 0.0000 0.0000 0.0000 1
Co1 Co 0.3333 0.6667 0.2500 1
Ge1 Ge 0.3333 0.6667 0.7500 1
# Energy in eV per atom: -6.80
# Magnetic moment in μB/cell: 5.6

# FeCo2Ge | OQMD via LeMat-Bulk | PBE | optimized geometry
data_FeCo2Ge
_chemical_formula_sum 'Fe1 Co2 Ge1'
_cell_length_a 4.004
_cell_length_b 4.004
_cell_length_c 2.948
_cell_angle_alpha 90.00
_cell_angle_beta 90.00
_cell_angle_gamma 90.00
_symmetry_space_group_name_H-M 'P 4/m m m'
_symmetry_Int_Tables_number 123
_symmetry_space_group_name_Hall '-P 4 2'
loop_
_atom_site_label
_atom_site_type_symbol
_atom_site_fract_x
_atom_site_fract_y
_atom_site_fract_z
_atom_site_occupancy
Fe1 Fe 0.000 0.000 0.000 1
Co1 Co 0.000 0.500 0.500 1
Ge1 Ge 0.500 0.500 0.000 1
# Energy in eV per atom: -6.91
# Magnetic moment in μB/cell: 5.4

> Number 11 is which compound?

FeCoGe

> What is the magnetic moment in the third record?

0.0 μB/cell